This record from Alexandria describes YSc2Br at its PBEsol-relaxed geometry. The functional is meta-GGA SCAN.

a b c (Å): 3.336 5.259 5.552
angles (deg): 90.00 90.00 90.00
Space group Pmmm (No. 47)
Symmetry-distinct sites (fractional):
Y (0.000, 0.000, 0.000) x1
Sc (0.000, 0.500, 0.500) x1
Sc (0.500, 0.000, 0.500) x1
Br (0.500, 0.500, 0.000) x1

The value obtained for the energy above the most stable polymorph in this dataset is 0 meV per atom. The crystal system is orthorhombic. The calculation puts the raw formation energy at -177 meV/atom. The calculated total energy comes out at -76.48 eV/cell. The calculation puts the density of states at the Fermi level at 4.6 states/eV/cell.

This record from Alexandria describes YScBr2 at its PBEsol-relaxed geometry. The functional is meta-GGA SCAN.

a b c (Å): 3.428 6.153 9.172
angles (deg): 90.00 90.00 90.00
Space group Immm (No. 71)
Symmetry-distinct sites (fractional):
Y (0.000, 0.000, 0.000) x2
Sc (0.000, 0.000, 0.500) x2
Br (0.000, 0.500, 0.240) x4

The value obtained for the energy above the most stable polymorph in this dataset is 326 meV per atom. The crystal system is orthorhombic. The calculation puts the raw formation energy at -947 meV/atom. The calculated total energy comes out at -169.58 eV/cell. The calculation puts the density of states at the Fermi level at 5.4 states/eV/cell.

This record from Alexandria describes YScBr2 at its PBEsol-relaxed geometry. The functional is meta-GGA SCAN.

a b c (Å): 3.586 3.586 7.945
angles (deg): 90.00 90.00 90.00
Space group P4mm (No. 99)
Symmetry-distinct sites (fractional):
Y (0.000, 0.000, 0.000) x1
Sc (0.500, 0.500, 0.277) x1
Br (0.000, 0.000, 0.425) x1
Br (0.500, 0.500, 0.790) x1

The value obtained for the energy above the most stable polymorph in this dataset is 0 meV per atom. The crystal system is tetragonal. The calculation puts the raw formation energy at -1273 meV/atom. The calculated total energy comes out at -86.09 eV/cell. The calculation puts the density of states at the Fermi level at 0.6 states/eV/cell.

This record from Alexandria describes YSc2Br at its PBEsol-relaxed geometry. The functional is meta-GGA SCAN.

a b c (Å): 5.956 9.682 3.394
angles (deg): 90.00 90.00 90.00
Space group Cmmm (No. 65)
Symmetry-distinct sites (fractional):
Y (0.000, 0.000, 0.000) x2
Sc (0.250, 0.250, 0.500) x4
Br (0.000, 0.500, 0.000) x2

The value obtained for the energy above the most stable polymorph in this dataset is 63 meV per atom. The crystal system is orthorhombic. The calculation puts the raw formation energy at -114 meV/atom. The calculated total energy comes out at -152.46 eV/cell. The calculation puts the density of states at the Fermi level at 7.6 states/eV/cell.

This record from Alexandria describes Y3ScBr at its PBEsol-relaxed geometry. The functional is meta-GGA SCAN.

a b c (Å): 5.298 5.298 5.298
angles (deg): 90.00 90.00 90.00
Space group Pm-3m (No. 221)
Symmetry-distinct sites (fractional):
Y (0.000, 0.000, 0.500) x3
Sc (0.500, 0.500, 0.500) x1
Br (0.000, 0.000, 0.000) x1

The crystal system is cubic. The calculation puts the raw formation energy at -210 meV/atom. The calculated total energy comes out at -118.27 eV/cell. The calculation puts the density of states at the Fermi level at 6.7 states/eV/cell.

This record from Alexandria describes YScBr2 at its PBEsol-relaxed geometry. The functional is meta-GGA SCAN.

a b c (Å): 7.476 7.476 7.476
angles (deg): 90.00 90.00 90.00
Space group F-43m (No. 216)
Symmetry-distinct sites (fractional):
Y (0.000, 0.000, 0.000) x4
Sc (0.250, 0.250, 0.250) x4
Br (0.000, 0.000, 0.500) x4
Br (0.250, 0.250, 0.750) x4

The value obtained for the energy above the most stable polymorph in this dataset is 851 meV per atom. The crystal system is cubic. The calculation puts the raw formation energy at -422 meV/atom. The calculated total energy comes out at -330.75 eV/cell. The calculation puts the density of states at the Fermi level at 4.5 states/eV/cell.

This record from Alexandria describes YScBr2 at its PBEsol-relaxed geometry. The functional is meta-GGA SCAN.

a b c (Å): 4.875 4.875 3.466
angles (deg): 90.00 90.00 90.00
Space group P4/mmm (No. 123)
Symmetry-distinct sites (fractional):
Y (0.000, 0.000, 0.000) x1
Sc (0.500, 0.500, 0.000) x1
Br (0.000, 0.500, 0.500) x2

The value obtained for the energy above the most stable polymorph in this dataset is 469 meV per atom. The crystal system is tetragonal. The calculation puts the raw formation energy at -803 meV/atom. The calculated total energy comes out at -84.21 eV/cell. The calculation puts the density of states at the Fermi level at 1.4 states/eV/cell.

This record from Alexandria describes Sc2ZnBr at its PBEsol-relaxed geometry. The functional is meta-GGA SCAN.

a b c (Å): 6.872 7.268 3.197
angles (deg): 90.00 101.40 90.00
Space group C2/m (No. 12)
Symmetry-distinct sites (fractional):
Sc (0.250, 0.250, 0.000) x4
Zn (0.000, 0.000, 0.500) x2
Br (0.000, 0.500, 0.500) x2

The crystal system is monoclinic. The calculation puts the raw formation energy at -426 meV/atom. The calculated total energy comes out at -126.31 eV/cell. The calculation puts the density of states at the Fermi level at 7.0 states/eV/cell.

This record from Alexandria describes ZrScBr at its PBEsol-relaxed geometry. The functional is meta-GGA SCAN.

a b c (Å): 6.363 6.363 6.363
angles (deg): 90.00 90.00 90.00
Space group F-43m (No. 216)
Symmetry-distinct sites (fractional):
Zr (0.000, 0.000, 0.000) x4
Sc (0.000, 0.000, 0.500) x4
Br (0.250, 0.250, 0.250) x4

The value obtained for the energy above the most stable polymorph in this dataset is 0 meV per atom. The crystal system is cubic. The calculation puts the raw formation energy at 52 meV/atom. The calculated total energy comes out at -256.96 eV/cell. The calculation puts the density of states at the Fermi level at 0.2 states/eV/cell.

This record from Alexandria describes ZrScBr2 at its PBEsol-relaxed geometry. The functional is meta-GGA SCAN.

a b c (Å): 3.221 6.055 9.065
angles (deg): 90.00 90.00 90.00
Space group Cmmm (No. 65)
Symmetry-distinct sites (fractional):
Zr (0.000, 0.000, 0.000) x2
Sc (0.000, 0.000, 0.500) x2
Br (0.000, 0.500, 0.249) x4

The crystal system is orthorhombic. The calculation puts the raw formation energy at -614 meV/atom. The calculated total energy comes out at -172.63 eV/cell. The calculation puts the density of states at the Fermi level at 5.4 states/eV/cell.

This record from Alexandria describes SeBr4 at its PBEsol-relaxed geometry. The functional is meta-GGA SCAN.

a b c (Å): 10.2814 10.2814 29.3245
angles (deg): 90.00 90.00 120.00
Space group P31c (No. 159)
Symmetry-distinct sites (fractional):
Se (0.0000, 0.0000, 0.1181) x2
Se (0.0306, 0.2588, 0.0000) x6
Se (0.0692, 0.6282, 0.3102) x6
Se (0.3333, 0.6667, 0.1928) x2
Br (0.0000, 0.0000, 0.4464) x2
Br (0.0079, 0.2024, 0.6606) x6
Br (0.0264, 0.8015, 0.5552) x6
Br (0.0625, 0.8206, 0.3532) x6
Br (0.0716, 0.4428, 0.0565) x6
Br (0.0810, 0.5051, 0.8605) x6
Br (0.1114, 0.6158, 0.1496) x6
Br (0.1219, 0.7115, 0.7571) x6
Br (0.1418, 0.4392, 0.2528) x6
Br (0.1645, 0.4339, 0.4594) x6
Br (0.1841, 0.7649, 0.9507) x6
Br (0.3333, 0.6667, 0.3595) x2

The crystal system is trigonal. The calculation puts the raw formation energy at -121 meV/atom. The calculated total energy comes out at -1576.31 eV/cell. The calculation puts the density of states at the Fermi level at 0.0 states/eV/cell.

This record from Alexandria describes SiSeBr2 at its PBEsol-relaxed geometry. The functional is meta-GGA SCAN.

a b c (Å): 4.938 3.332 6.968
angles (deg): 90.00 110.48 90.00
Space group P2/m (No. 10)
Symmetry-distinct sites (fractional):
Si (0.000, 0.000, 0.000) x1
Se (0.500, 0.000, 0.000) x1
Br (0.139, 0.500, 0.281) x2

The value obtained for the energy above the most stable polymorph in this dataset is 0 meV per atom. The crystal system is monoclinic. The calculation puts the raw formation energy at -76 meV/atom. The calculated total energy comes out at -69.32 eV/cell. The calculation puts the density of states at the Fermi level at 1.0 states/eV/cell.